Entry from Alexandria via LeMat-Bulk: crystalline AuCN2F at its relaxed geometry (PBE).

The value obtained for the total energy is -0.3302 Ry/atom. Its distance to the lowest polymorph of the same formula is 0 meV/atom. The uncorrected formation energy is 1.711 eV/atom.

Cell: 3.1140 3.1140 6.1743 Å, 90.00 90.00 90.00°
Sites, in units of the cell vectors:
C (0.0000, 0.0000, 0.0000)
N (0.0000, 0.5000, 0.0000)
N (0.5000, 0.0000, 0.0000)
Au (0.5000, 0.5000, 0.5000)
F (0.0000, 0.0000, 0.5000)


Entry from Alexandria via LeMat-Bulk: crystalline AuCO2F at its relaxed geometry (PBE).

The value obtained for the total energy is -0.2446 Ry/atom. The uncorrected formation energy is 1.530 eV/atom.

Cell: 4.0410 4.0410 4.2004 Å, 90.00 90.00 90.00°
Sites, in units of the cell vectors:
C (0.5000, 0.5000, 0.5000)
Au (0.0000, 0.0000, 0.0000)
O (0.0000, 0.5000, 0.0000)
O (0.5000, 0.0000, 0.0000)
F (0.0000, 0.0000, 0.5000)


Entry from Alexandria via LeMat-Bulk: crystalline AuCO2F at its relaxed geometry (PBE).

The value obtained for the total energy is -0.3045 Ry/atom. The uncorrected formation energy is 0.715 eV/atom.

Cell: 3.2450 4.9984 3.2450 Å, 90.00 90.00 90.00°
Sites, in units of the cell vectors:
C (0.0000, 0.0000, 0.0000)
Au (0.0000, 0.5000, 0.0000)
O (0.0000, 0.0000, 0.5000)
O (0.5000, 0.0000, 0.0000)
F (0.5000, 0.5000, 0.5000)